This record from the Alexandria database describes RbGe6 after structural relaxation. The functional is PBE-GGA.

```
RbGe6
1.0
-0.282 3.929 4.819
-5.380 0.160 -3.125
1.015 -5.775 2.088
Ge Rb
6 1
direct
0.250 0.500 0.750
0.250 0.750 0.500
0.750 0.500 0.250
0.750 0.250 0.500
0.500 0.750 0.250
0.500 0.250 0.750
0.000 0.000 0.000
```

Computed properties:
E_form in kJ per mole of atoms: -2.02
Calculated total energy in eV for the cell shown: -28.8
DOS(E_F) in states/eV/atom: 0.418
Space group: No. 229

---

This record from the Alexandria database describes RbGe after structural relaxation. The functional is PBE-GGA.

```
RbGe
1.0
-7.726 5.423 3.634
-5.119 -1.538 -8.587
-4.051 -8.398 3.920
Rb Ge
8 8
direct
0.711 0.289 0.711
0.289 0.289 0.289
0.289 0.711 0.711
0.789 0.789 0.789
0.211 0.211 0.789
0.211 0.789 0.211
0.711 0.711 0.289
0.789 0.211 0.211
0.409 0.409 0.591
0.091 0.909 0.909
0.909 0.909 0.091
0.591 0.591 0.591
0.409 0.591 0.409
0.591 0.409 0.409
0.091 0.091 0.091
0.909 0.091 0.909
```

Computed properties:
E_form in kJ per mole of atoms: -7.34
Calculated total energy in eV for the cell shown: -45.9
E above lowest polymorph in meV/atom: 112
Space group: No. 217

---

This record from the Alexandria database describes RbGe after structural relaxation. The functional is PBE-GGA.

```
RbGe
1.0
11.380 0.000 0.000
0.000 17.132 0.000
0.000 0.000 6.557
Rb Ge
16 16
direct
0.920 0.750 0.250
0.580 0.750 0.250
0.330 0.000 0.000
0.170 0.000 0.500
0.080 0.250 0.250
0.420 0.250 0.250
0.670 0.000 0.000
0.170 0.500 0.000
0.420 0.750 0.750
0.920 0.250 0.750
0.580 0.250 0.750
0.670 0.500 0.500
0.330 0.500 0.500
0.830 0.500 0.000
0.080 0.750 0.750
0.830 0.000 0.500
0.750 0.317 0.250
0.500 0.933 0.500
0.500 0.567 0.000
0.750 0.183 0.250
0.750 0.817 0.750
0.250 0.183 0.750
0.000 0.933 0.000
0.250 0.317 0.750
0.000 0.067 0.000
0.750 0.683 0.750
0.000 0.433 0.500
0.000 0.567 0.500
0.250 0.817 0.250
0.250 0.683 0.250
0.500 0.433 0.000
0.500 0.067 0.500
```

Computed properties:
E_form in kJ per mole of atoms: 1.12
Calculated total energy in eV for the cell shown: -89.0
E above lowest polymorph in meV/atom: 200
Space group: No. 70